Entry from Alexandria: crystalline Tb3PmDy2Tm6 at its relaxed geometry (PBE-GGA).

```
12
Lattice="3.0582 -5.2917 0.0000 3.0582 5.2917 0.0000 -2.0296 0.0000 11.4736" Properties=species:S:1:pos:R:3 pbc="T T T"
Tb 0.0000 0.0000 0.0000
Tb 3.0582 1.7656 0.0000
Tb 3.0582 -1.7656 0.0000
Pm 2.0434 0.0000 5.7368
Dy 2.0434 3.5274 5.7368
Dy 2.0434 -3.5274 5.7368
Tm 1.0192 1.7652 2.8623
Tm 0.0057 0.0000 8.6099
Tm 1.0192 -1.7652 2.8623
Tm 3.0676 1.7652 8.6113
Tm 4.0811 0.0000 2.8637
Tm 3.0676 -1.7652 8.6113
```

Values from the calculation:
N(E_F): 15.65 states/eV/cell
Calculated formation energy: 0.020 eV per atom
Symmetry: C2/m